(1)
Density functional theory data (meta-GGA SCAN) for a crystal of ZnCdBr2 relaxed with PBEsol.

a b c (Å): 3.525 5.497 5.565
angles (deg): 115.57 90.00 90.00
Fractional coordinates of all 4 atoms:
Zn1 0.500 0.199 0.687
Cd1 0.000 0.500 0.556
Br1 0.500 0.732 0.304
Br2 0.000 0.070 0.953

Properties
- crystal system = monoclinic
- total DFT energy (no corrections) (eV per cell) = -85.1



(2)
Density functional theory data (meta-GGA SCAN) for a crystal of ZrMn2Te relaxed with PBEsol.

a b c (Å): 3.464 3.464 5.735
angles (deg): 90.00 90.00 90.00
Each line ends with the local moment (μB).
Fractional coordinates of all 4 atoms:
Te1 0.500 0.500 0.000  -0.02
Zr1 0.500 0.500 0.500  -0.71
Mn1 0.000 0.000 0.255  3.41
Mn2 0.000 0.000 0.745  3.41

Properties
- crystal system = tetragonal
- total DFT energy (no corrections) (eV per cell) = -105.5



(3)
Density functional theory data (meta-GGA SCAN) for a crystal of Li2IrRh relaxed with PBEsol.

a b c (Å): 2.619 4.568 4.599
angles (deg): 99.10 106.57 90.00
Fractional coordinates of all 4 atoms:
Rh1 0.000 0.500 0.000
Ir1 0.500 0.000 0.000
Li1 0.749 0.750 0.499
Li2 0.251 0.250 0.501

Properties
- energy of formation (eV/atom) = -0.276
- crystal system = monoclinic



(4)
Density functional theory data (meta-GGA SCAN) for a crystal of Zr2CdP relaxed with PBEsol.

a b c (Å): 3.453 3.453 7.081
angles (deg): 90.00 90.00 90.00
Fractional coordinates of all 4 atoms:
Zr1 0.500 0.500 0.224
Zr2 0.000 0.000 0.946
P1 0.500 0.500 0.831
Cd1 0.000 0.000 0.500

Properties
- energy of formation (eV/atom) = -0.419
- crystal system = tetragonal



(5)
Density functional theory data (meta-GGA SCAN) for a crystal of SrIn2Sb relaxed with PBEsol.

a b c (Å): 4.736 4.736 5.971
angles (deg): 113.37 113.37 90.00
Fractional coordinates of all 4 atoms:
In1 0.750 0.250 0.500
In2 0.000 0.000 0.000
Sr1 0.250 0.750 0.500
Sb1 0.500 0.500 0.000

Properties
- crystal system = tetragonal
- total DFT energy (no corrections) (eV per cell) = -128.0



(6)
Density functional theory data (meta-GGA SCAN) for a crystal of MgMnCl relaxed with PBEsol.

a b c (Å): 3.140 3.140 6.008
angles (deg): 105.15 105.15 90.00
Each line ends with the local moment (μB).
Fractional coordinates of all 3 atoms:
Mg1 0.686 0.686 0.373  -0.06
Cl1 0.973 0.973 0.945  0.06
Mn1 0.341 0.341 0.682  3.92

Properties
- crystal system = tetragonal
- total DFT energy (no corrections) (eV per cell) = -32.5